(1)
# Zr12Pb3Au (GGA-PBE, relaxed)
data_Zr12Pb3Au
_chemical_formula_sum 'Zr12 Pb3 Au1'
_cell_length_a 5.640
_cell_length_b 5.657
_cell_length_c 11.297
_cell_angle_alpha 90.00
_cell_angle_beta 90.00
_cell_angle_gamma 90.00
_symmetry_space_group_name_H-M 'P m m m'
_symmetry_Int_Tables_number 47
_symmetry_space_group_name_Hall '-P 2 2'
loop_
_atom_site_label
_atom_site_type_symbol
_atom_site_fract_x
_atom_site_fract_y
_atom_site_fract_z
Zr1 Zr 0.000 0.000 0.121
Zr2 Zr 0.000 0.000 0.373
Zr3 Zr 0.250 0.500 0.500
Zr4 Zr 0.255 0.500 0.000
Zr5 Zr 0.500 0.247 0.243
Pb1 Pb 0.000 0.500 0.251
Pb2 Pb 0.500 0.000 0.500
Au1 Au 0.500 0.000 0.000
# ΔE_f in kJ/mol of formula units: -341

---

(2)
# PuMg2Hg4 (GGA-PBE, relaxed)
data_PuMg2Hg4
_chemical_formula_sum 'Pu3 Mg6 Hg12'
_cell_length_a 4.9777
_cell_length_b 4.9777
_cell_length_c 24.6564
_cell_angle_alpha 90.00
_cell_angle_beta 90.00
_cell_angle_gamma 120.00
_symmetry_space_group_name_H-M 'R -3 m'
_symmetry_Int_Tables_number 166
_symmetry_space_group_name_Hall '-R 3 2"'
loop_
_atom_site_label
_atom_site_type_symbol
_atom_site_fract_x
_atom_site_fract_y
_atom_site_fract_z
Pu1 Pu 0.0000 0.0000 0.0000
Mg1 Mg 0.0000 0.0000 0.2499
Hg1 Hg 0.0000 0.0000 0.1307
Hg2 Hg 0.0000 0.0000 0.3891
# ΔE_f in kJ/mol of formula units: -89

---

(3)
# ErPaFe (GGA-PBE, relaxed)
data_ErPaFe
_chemical_formula_sum 'Er4 Pa4 Fe4'
_cell_length_a 5.875
_cell_length_b 3.649
_cell_length_c 12.558
_cell_angle_alpha 90.00
_cell_angle_beta 90.00
_cell_angle_gamma 90.00
_symmetry_space_group_name_H-M 'P n m a'
_symmetry_Int_Tables_number 62
_symmetry_space_group_name_Hall '-P 2ac 2n'
loop_
_atom_site_label
_atom_site_type_symbol
_atom_site_fract_x
_atom_site_fract_y
_atom_site_fract_z
Er1 Er 0.128 0.250 0.104
Pa1 Pa 0.127 0.750 0.345
Fe1 Fe 0.138 0.250 0.463
# ΔE_f in kJ/mol of formula units: -40
# ΔE to the lowest computed polymorph in eV per formula unit: 0.00

---

(4)
# LaTb3Ho2S6 (GGA-PBE, relaxed)
data_LaTb3Ho2S6
_chemical_formula_sum 'La2 Tb6 Ho4 S12'
_cell_length_a 6.839
_cell_length_b 11.887
_cell_length_c 6.836
_cell_angle_alpha 90.00
_cell_angle_beta 109.62
_cell_angle_gamma 90.00
_symmetry_space_group_name_H-M 'C 1 2/m 1'
_symmetry_Int_Tables_number 12
_symmetry_space_group_name_Hall '-C 2y'
loop_
_atom_site_label
_atom_site_type_symbol
_atom_site_fract_x
_atom_site_fract_y
_atom_site_fract_z
La1 La 0.000 0.000 0.000
Tb1 Tb 0.000 0.162 0.500
Tb2 Tb 0.000 0.500 0.500
Ho1 Ho 0.000 0.333 0.000
S1 S 0.238 0.500 0.250
S2 S 0.242 0.327 0.746
# Formation energy without anion corrections in eV/atom: -2.019

---

(5)
# SbTe (GGA-PBE, relaxed)
data_SbTe
_chemical_formula_sum 'Sb4 Te4'
_cell_length_a 7.094
_cell_length_b 7.094
_cell_length_c 7.094
_cell_angle_alpha 90.00
_cell_angle_beta 90.00
_cell_angle_gamma 90.00
_symmetry_space_group_name_H-M 'F -4 3 m'
_symmetry_Int_Tables_number 216
_symmetry_space_group_name_Hall 'F -4 2 3'
loop_
_atom_site_label
_atom_site_type_symbol
_atom_site_fract_x
_atom_site_fract_y
_atom_site_fract_z
Sb1 Sb 0.000 0.000 0.000
Te1 Te 0.250 0.250 0.750
# Formation energy without anion corrections in eV/atom: 0.332
# ΔE to the lowest computed polymorph in eV per formula unit: 0.87

---

(6)
# NbV2Ru (GGA-PBE, relaxed)
data_NbV2Ru
_chemical_formula_sum 'Nb2 V4 Ru2'
_cell_length_a 4.367
_cell_length_b 4.367
_cell_length_c 6.165
_cell_angle_alpha 90.00
_cell_angle_beta 90.00
_cell_angle_gamma 90.00
_symmetry_space_group_name_H-M 'I -4 m 2'
_symmetry_Int_Tables_number 119
_symmetry_space_group_name_Hall 'I -4 -2'
loop_
_atom_site_label
_atom_site_type_symbol
_atom_site_fract_x
_atom_site_fract_y
_atom_site_fract_z
Nb1 Nb 0.000 0.000 0.000
V1 V 0.000 0.000 0.500
V2 V 0.000 0.500 0.250
Ru1 Ru 0.000 0.500 0.750
# ΔE_f in kJ/mol of formula units: -81

---

(7)
# CoSiP (GGA-PBE, relaxed)
data_CoSiP
_chemical_formula_sum 'Co2 Si2 P2'
_cell_length_a 3.415
_cell_length_b 3.415
_cell_length_c 6.464
_cell_angle_alpha 90.00
_cell_angle_beta 90.00
_cell_angle_gamma 90.00
_symmetry_space_group_name_H-M 'P 4/n m m'
_symmetry_Int_Tables_number 129
loop_
_symmetry_equiv_pos_as_xyz
'x,y,z'
'-x,-y,-z'
'-y+1/2,x,z'
'y+1/2,-x,-z'
'-x+1/2,-y+1/2,z'
'x+1/2,y+1/2,-z'
'y,-x+1/2,z'
'-y,x+1/2,-z'
'x+1/2,-y,-z'
'-x+1/2,y,z'
'-y,-x,-z'
'y,x,z'
'-x,y+1/2,-z'
'x,-y+1/2,z'
'y+1/2,x+1/2,-z'
'-y+1/2,-x+1/2,z'
loop_
_atom_site_label
_atom_site_type_symbol
_atom_site_fract_x
_atom_site_fract_y
_atom_site_fract_z
Co1 Co 0.250 0.250 0.243
Si1 Si 0.250 0.250 0.601
P1 P 0.250 0.750 0.000
# Formation energy without anion corrections in eV/atom: -0.008

---

(8)
# GeTeSe (GGA-PBE, relaxed)
data_GeTeSe
_chemical_formula_sum 'Ge4 Te4 Se4'
_cell_length_a 11.629
_cell_length_b 3.996
_cell_length_c 8.101
_cell_angle_alpha 90.00
_cell_angle_beta 113.53
_cell_angle_gamma 90.00
_symmetry_space_group_name_H-M 'C 1 2/m 1'
_symmetry_Int_Tables_number 12
_symmetry_space_group_name_Hall '-C 2y'
loop_
_atom_site_label
_atom_site_type_symbol
_atom_site_fract_x
_atom_site_fract_y
_atom_site_fract_z
Ge1 Ge 0.145 0.000 0.064
Te1 Te 0.199 0.000 0.579
Se1 Se 0.114 0.500 0.834
# Formation energy without anion corrections in eV/atom: -0.076
# ΔE to the lowest computed polymorph in eV per formula unit: 0.09

---

(9)
# Sr4Pa3FeN8 (GGA-PBE, relaxed)
data_Sr4Pa3FeN8
_chemical_formula_sum 'Sr12 Pa9 Fe3 N24'
_cell_length_a 7.1307
_cell_length_b 7.1307
_cell_length_c 17.8691
_cell_angle_alpha 90.00
_cell_angle_beta 90.00
_cell_angle_gamma 120.00
_symmetry_space_group_name_H-M 'R -3 m'
_symmetry_Int_Tables_number 166
_symmetry_space_group_name_Hall '-R 3 2"'
loop_
_atom_site_label
_atom_site_type_symbol
_atom_site_fract_x
_atom_site_fract_y
_atom_site_fract_z
Sr1 Sr 0.0000 0.0000 0.0000
Sr2 Sr 0.0000 0.5000 0.0000
Pa1 Pa 0.0000 0.5000 0.5000
Fe1 Fe 0.0000 0.0000 0.5000
N1 N 0.0000 0.0000 0.2341
N2 N 0.0223 0.5111 0.7664
# Formation energy without anion corrections in eV/atom: -1.081

---

(10)
# Tm2HfSe (GGA-PBE, relaxed)
data_Tm2HfSe
_chemical_formula_sum 'Tm6 Hf3 Se3'
_cell_length_a 3.5251
_cell_length_b 3.5251
_cell_length_c 29.6767
_cell_angle_alpha 90.00
_cell_angle_beta 90.00
_cell_angle_gamma 120.00
_symmetry_space_group_name_H-M 'R -3 m'
_symmetry_Int_Tables_number 166
_symmetry_space_group_name_Hall '-R 3 2"'
loop_
_atom_site_label
_atom_site_type_symbol
_atom_site_fract_x
_atom_site_fract_y
_atom_site_fract_z
Tm1 Tm 0.0000 0.0000 0.1029
Hf1 Hf 0.0000 0.0000 0.0000
Se1 Se 0.0000 0.0000 0.5000
# Formation energy without anion corrections in eV/atom: -0.261

---

(11)
# La5PrNd6 (GGA-PBE, relaxed)
data_La5PrNd6
_chemical_formula_sum 'La10 Pr2 Nd12'
_cell_length_a 6.434
_cell_length_b 11.161
_cell_length_c 12.249
_cell_angle_alpha 90.00
_cell_angle_beta 100.20
_cell_angle_gamma 90.00
_symmetry_space_group_name_H-M 'C 1 2/m 1'
_symmetry_Int_Tables_number 12
_symmetry_space_group_name_Hall '-C 2y'
loop_
_atom_site_label
_atom_site_type_symbol
_atom_site_fract_x
_atom_site_fract_y
_atom_site_fract_z
La1 La 0.000 0.000 0.000
La2 La 0.000 0.167 0.500
La3 La 0.000 0.334 0.000
Pr1 Pr 0.000 0.500 0.500
Nd1 Nd 0.249 0.500 0.250
Nd2 Nd 0.250 0.167 0.250
# ΔE_f in kJ/mol of formula units: 13

---

(12)
# SrCd2Os (GGA-PBE, relaxed)
data_SrCd2Os
_chemical_formula_sum 'Sr1 Cd2 Os1'
_cell_length_a 3.592
_cell_length_b 3.592
_cell_length_c 7.521
_cell_angle_alpha 90.00
_cell_angle_beta 90.00
_cell_angle_gamma 90.00
_symmetry_space_group_name_H-M 'P 4 m m'
_symmetry_Int_Tables_number 99
_symmetry_space_group_name_Hall 'P 4 -2'
loop_
_atom_site_label
_atom_site_type_symbol
_atom_site_fract_x
_atom_site_fract_y
_atom_site_fract_z
Sr1 Sr 0.000 0.000 0.000
Cd1 Cd 0.000 0.000 0.578
Cd2 Cd 0.500 0.500 0.344
Os1 Os 0.500 0.500 0.727
# ΔE_f in kJ/mol of formula units: 172

---

Number 1: DOS(E_F) 15.22 states/eV/f.u.. Number 2: DOS(E_F) 15.68 states/eV/f.u.. Number 3: DOS(E_F) 2.29 states/eV/f.u.. Number 4: DOS(E_F) 5.04 states/eV/f.u.. Number 5: DOS(E_F) 2.42 states/eV/f.u.. Number 6: DOS(E_F) 2.76 states/eV/f.u.. Number 7: DOS(E_F) 1.08 states/eV/f.u.. Number 8: DOS(E_F) 0.13 states/eV/f.u.. Number 9: DOS(E_F) 6.01 states/eV/f.u.. Number 10: DOS(E_F) 3.90 states/eV/f.u.. Number 11: DOS(E_F) 20.94 states/eV/f.u.. Number 12: DOS(E_F) 2.61 states/eV/f.u..